! TmBeIn, optimized geometry, DFT PBE; values from VASP
! energy above the most stable polymorph in this dataset: 2.33 eV/f.u.
! volume: 75.98 Å³/cell
! energy: -3.06 eV/atom
&SYSTEM
  ibrav = 0, nat = 3, ntyp = 3
/
ATOMIC_SPECIES
Tm 168.93 Tm.upf
Be 9.01 Be.upf
In 114.82 In.upf
CELL_PARAMETERS angstrom
0.000 3.362 3.362
3.362 0.000 3.362
3.362 3.362 0.000
ATOMIC_POSITIONS angstrom
Tm 0.000 0.000 0.000
Be 5.043 5.043 5.043
In 1.681 1.681 1.681